Entry 1:
Density functional theory data (GGA-PBE) for Ac3PbAu2 after structural relaxation.

Symmetry ... Cmmm (65)
D(E_F) ... 5.26 states/eV/f.u.
Spin magnetization ... 0.0 μB per formula unit
Energy relative to the elements ... -500 meV/atom
Calculated volume ... 32.9 Å³ per atom
Polymorph energy (0 for the lowest one) ... 0.166 eV/atom

Lattice parameters (Å, degrees): 4.4918 17.9589 4.8894 90.00 90.00 90.00
Fractional coordinates of all 12 atoms:
Ac 0.0000 0.0000 0.0000
Ac 0.0000 0.1650 0.5000
Ac 0.0000 0.8350 0.5000
Ac 0.5000 0.3350 0.5000
Ac 0.5000 0.5000 0.0000
Ac 0.5000 0.6650 0.5000
Pb 0.0000 0.5000 0.5000
Pb 0.5000 0.0000 0.5000
Au 0.0000 0.3523 0.0000
Au 0.0000 0.6477 0.0000
Au 0.5000 0.1477 0.0000
Au 0.5000 0.8523 0.0000



Entry 2:
Density functional theory data (GGA-PBE) for Ac4PbAu5 after structural relaxation.

Symmetry ... P4/mmm (123)
D(E_F) ... 6.26 states/eV/f.u.
Spin magnetization ... 0.0 μB per formula unit
Energy relative to the elements ... -671 meV/atom
Calculated volume ... 28.9 Å³ per atom

Lattice parameters (Å, degrees): 3.9248 3.9248 18.7911 90.00 90.00 90.00
Fractional coordinates of all 10 atoms:
Ac 0.0000 0.0000 0.1052
Ac 0.0000 0.0000 0.3143
Ac 0.0000 0.0000 0.6857
Ac 0.0000 0.0000 0.8948
Pb 0.0000 0.0000 0.5000
Au 0.5000 0.5000 0.0000
Au 0.5000 0.5000 0.2043
Au 0.5000 0.5000 0.4027
Au 0.5000 0.5000 0.5973
Au 0.5000 0.5000 0.7957



Entry 3:
Density functional theory data (GGA-PBE) for AcPb3Au after structural relaxation.

Symmetry ... Cmmm (65)
D(E_F) ... 3.18 states/eV/f.u.
Spin magnetization ... 0.0 μB per formula unit
Energy relative to the elements ... -276 meV/atom
Calculated volume ... 31.9 Å³ per atom

Lattice parameters (Å, degrees): 14.8800 14.8800 4.5913 90.00 90.00 161.68
Fractional coordinates of all 10 atoms:
Ac 0.1647 0.8353 0.0000
Ac 0.8353 0.1647 0.0000
Pb 0.0578 0.9422 0.5000
Pb 0.2811 0.7189 0.5000
Pb 0.4435 0.5565 0.0000
Pb 0.5565 0.4435 0.0000
Pb 0.7189 0.2811 0.5000
Pb 0.9422 0.0578 0.5000
Au 0.3773 0.6227 0.5000
Au 0.6227 0.3773 0.5000



Entry 4:
Density functional theory data (GGA-PBE) for AcPd2Pb2Au after structural relaxation.

Symmetry ... I4/mmm (139)
D(E_F) ... 3.84 states/eV/f.u.
Spin magnetization ... 0.0 μB per formula unit
Energy relative to the elements ... -200 meV/atom
Calculated volume ... 28.3 Å³ per atom

Lattice parameters (Å, degrees): 5.4407 5.4407 11.4798 90.00 90.00 90.00
Fractional coordinates of all 12 atoms:
Ac 0.0000 0.0000 0.0000
Ac 0.5000 0.5000 0.5000
Pd 0.0000 0.0000 0.2661
Pd 0.0000 0.0000 0.7339
Pd 0.5000 0.5000 0.2339
Pd 0.5000 0.5000 0.7661
Pb 0.0000 0.5000 0.2500
Pb 0.0000 0.5000 0.7500
Pb 0.5000 0.0000 0.2500
Pb 0.5000 0.0000 0.7500
Au 0.0000 0.0000 0.5000
Au 0.5000 0.5000 0.0000



Entry 5:
Density functional theory data (GGA-PBE) for Ac3Pd8Pb2Au after structural relaxation.

Symmetry ... P-3m1 (164)
D(E_F) ... 7.32 states/eV/f.u.
Spin magnetization ... 0.0 μB per formula unit
Energy relative to the elements ... -581 meV/atom
Calculated volume ... 22.2 Å³ per atom

Lattice parameters (Å, degrees): 5.6594 5.6594 11.1846 90.00 90.00 120.00
Fractional coordinates of all 14 atoms:
Ac 0.0000 0.0000 0.0000
Ac 0.3333 0.6667 0.5839
Ac 0.6667 0.3333 0.4161
Pd 0.1633 0.3266 0.2930
Pd 0.1633 0.8367 0.2930
Pd 0.3266 0.1633 0.7070
Pd 0.3333 0.6667 0.8503
Pd 0.6667 0.3333 0.1497
Pd 0.6734 0.8367 0.2930
Pd 0.8367 0.1633 0.7070
Pd 0.8367 0.6734 0.7070
Pb 0.3333 0.6667 0.0997
Pb 0.6667 0.3333 0.9003
Au 0.0000 0.0000 0.5000



Entry 6:
Density functional theory data (GGA-PBE) for Ac3Pd6Pb2Au after structural relaxation.

Symmetry ... P-3m1 (164)
D(E_F) ... 6.24 states/eV/f.u.
Spin magnetization ... 0.0 μB per formula unit
Energy relative to the elements ... -648 meV/atom
Calculated volume ... 23.9 Å³ per atom

Lattice parameters (Å, degrees): 6.0005 6.0005 9.2037 90.00 90.00 120.00
Fractional coordinates of all 12 atoms:
Ac 0.0000 0.0000 0.0000
Ac 0.3333 0.6667 0.6149
Ac 0.6667 0.3333 0.3851
Pd 0.1742 0.3483 0.2778
Pd 0.1742 0.8258 0.2778
Pd 0.3483 0.1742 0.7222
Pd 0.6517 0.8258 0.2778
Pd 0.8258 0.1742 0.7222
Pd 0.8258 0.6517 0.7222
Pb 0.3333 0.6667 0.0182
Pb 0.6667 0.3333 0.9818
Au 0.0000 0.0000 0.5000



Entry 7:
Density functional theory data (GGA-PBE) for Ac2Pd3Pb4Au after structural relaxation.

Symmetry ... P-4m2 (115)
D(E_F) ... 5.84 states/eV/f.u.
Spin magnetization ... 0.0 μB per formula unit
Energy relative to the elements ... -521 meV/atom
Calculated volume ... 26.2 Å³ per atom

Lattice parameters (Å, degrees): 4.8721 4.8721 11.0278 90.00 90.00 90.00
Fractional coordinates of all 10 atoms:
Ac 0.0000 0.5000 0.2351
Ac 0.5000 0.0000 0.7649
Pd 0.0000 0.0000 0.0000
Pd 0.0000 0.5000 0.6264
Pd 0.5000 0.0000 0.3736
Pb 0.0000 0.0000 0.5000
Pb 0.0000 0.5000 0.8690
Pb 0.5000 0.0000 0.1310
Pb 0.5000 0.5000 0.5000
Au 0.5000 0.5000 0.0000



Entry 8:
Density functional theory data (GGA-PBE) for AcPd5PbAu2 after structural relaxation.

Symmetry ... P4/mmm (123)
D(E_F) ... 3.05 states/eV/f.u.
Spin magnetization ... 0.0 μB per formula unit
Energy relative to the elements ... -232 meV/atom
Calculated volume ... 21.5 Å³ per atom

Lattice parameters (Å, degrees): 4.8262 4.8262 8.2914 90.00 90.00 90.00
Fractional coordinates of all 9 atoms:
Ac 0.0000 0.0000 0.0000
Pd 0.0000 0.5000 0.2062
Pd 0.0000 0.5000 0.7938
Pd 0.5000 0.0000 0.2062
Pd 0.5000 0.0000 0.7938
Pd 0.5000 0.5000 0.0000
Pb 0.0000 0.0000 0.5000
Au 0.5000 0.5000 0.3424
Au 0.5000 0.5000 0.6576



Entry 9:
Density functional theory data (GGA-PBE) for Ac3Pd6PbAu2 after structural relaxation.

Symmetry ... P-3m1 (164)
D(E_F) ... 6.69 states/eV/f.u.
Spin magnetization ... 0.0 μB per formula unit
Energy relative to the elements ... -643 meV/atom
Calculated volume ... 23.3 Å³ per atom

Lattice parameters (Å, degrees): 5.9422 5.9422 9.1405 90.00 90.00 120.00
Fractional coordinates of all 12 atoms:
Ac 0.0000 0.0000 0.0000
Ac 0.3333 0.6667 0.6361
Ac 0.6667 0.3333 0.3639
Pd 0.1776 0.3551 0.2713
Pd 0.1776 0.8224 0.2713
Pd 0.3551 0.1776 0.7287
Pd 0.6449 0.8224 0.2713
Pd 0.8224 0.1776 0.7287
Pd 0.8224 0.6449 0.7287
Pb 0.0000 0.0000 0.5000
Au 0.3333 0.6667 0.0119
Au 0.6667 0.3333 0.9881



Entry 10:
Density functional theory data (GGA-PBE) for AcPuPbAu after structural relaxation.

Symmetry ... F-43m (216)
D(E_F) ... 13.50 states/eV/f.u.
Spin magnetization ... 6.0 μB per formula unit
Energy relative to the elements ... -388 meV/atom
Calculated volume ... 30.2 Å³ per atom

Lattice parameters (Å, degrees): 7.8429 7.8429 7.8429 90.00 90.00 90.00
Fractional coordinates of all 16 atoms:
Ac 0.0000 0.0000 0.0000
Ac 0.0000 0.5000 0.5000
Ac 0.5000 0.0000 0.5000
Ac 0.5000 0.5000 0.0000
Pu 0.0000 0.0000 0.5000
Pu 0.0000 0.5000 0.0000
Pu 0.5000 0.0000 0.0000
Pu 0.5000 0.5000 0.5000
Pb 0.2500 0.2500 0.7500
Pb 0.2500 0.7500 0.2500
Pb 0.7500 0.2500 0.2500
Pb 0.7500 0.7500 0.7500
Au 0.2500 0.2500 0.2500
Au 0.2500 0.7500 0.7500
Au 0.7500 0.2500 0.7500
Au 0.7500 0.7500 0.2500



Entry 11:
Density functional theory data (GGA-PBE) for AcRhPbAu after structural relaxation.

Symmetry ... F-43m (216)
D(E_F) ... 2.81 states/eV/f.u.
Spin magnetization ... 0.0 μB per formula unit
Energy relative to the elements ... -385 meV/atom
Calculated volume ... 24.6 Å³ per atom

Lattice parameters (Å, degrees): 7.3333 7.3333 7.3333 90.00 90.00 90.00
Fractional coordinates of all 16 atoms:
Ac 0.0000 0.0000 0.0000
Ac 0.0000 0.5000 0.5000
Ac 0.5000 0.0000 0.5000
Ac 0.5000 0.5000 0.0000
Rh 0.2500 0.2500 0.2500
Rh 0.2500 0.7500 0.7500
Rh 0.7500 0.2500 0.7500
Rh 0.7500 0.7500 0.2500
Pb 0.0000 0.0000 0.5000
Pb 0.0000 0.5000 0.0000
Pb 0.5000 0.0000 0.0000
Pb 0.5000 0.5000 0.5000
Au 0.2500 0.2500 0.7500
Au 0.2500 0.7500 0.2500
Au 0.7500 0.2500 0.2500
Au 0.7500 0.7500 0.7500



Entry 12:
Density functional theory data (GGA-PBE) for Ac2RhPbAu after structural relaxation.

Symmetry ... P2_1/m (11)
D(E_F) ... 2.88 states/eV/f.u.
Spin magnetization ... 0.0 μB per formula unit
Energy relative to the elements ... -676 meV/atom
Calculated volume ... 29.1 Å³ per atom

Lattice parameters (Å, degrees): 8.1652 4.5115 8.6274 90.00 113.91 90.00
Fractional coordinates of all 10 atoms:
Ac 0.0259 0.2500 0.2223
Ac 0.3561 0.7500 0.6156
Ac 0.6439 0.2500 0.3844
Ac 0.9741 0.7500 0.7777
Rh 0.1074 0.2500 0.6142
Rh 0.8926 0.7500 0.3858
Pb 0.3475 0.2500 0.9576
Pb 0.6525 0.7500 0.0424
Au 0.3091 0.7500 0.2140
Au 0.6909 0.2500 0.7860